1.
Material: Pm4Nd4Y
Method: DFT, PBE
State: relaxed

Lattice parameters (Å, degrees): 6.335 6.335 12.130 85.03 64.19 48.26
Element x y z (fractional)
Y 0.500 0.000 0.000
Pm 0.722 0.111 0.445
Pm 0.278 0.889 0.555
Pm 0.388 0.444 0.778
Pm 0.612 0.556 0.222
Nd 0.832 0.667 0.668
Nd 0.168 0.333 0.332
Nd 0.057 0.778 0.110
Nd 0.943 0.222 0.890

Summary:
Crystal system ... monoclinic
SG ... C2/m, No. 12
Calculated formation energy ... 0.013 eV/atom
E ... -44.42 eV/cell

=====

2.
Material: PmNd4Y
Method: DFT, PBE
State: relaxed

Lattice parameters (Å, degrees): 5.171 7.326 11.551 71.54 90.00 90.00
Element x y z (fractional)
Nd 0.000 0.083 0.334
Nd 0.500 0.417 0.167
Nd 0.500 0.583 0.833
Nd 0.000 0.417 0.666
Nd 0.500 0.083 0.833
Nd 0.500 0.917 0.167
Nd 0.000 0.583 0.334
Nd 0.000 0.917 0.666
Pm 0.000 0.250 0.000
Pm 0.000 0.750 0.000
Y 0.500 0.250 0.500
Y 0.500 0.750 0.500

Summary:
Crystal system ... orthorhombic
SG ... Pmmm, No. 47
Distance to the lowest polymorph of the same formula ... 0.000 eV/atom
Calculated formation energy ... 0.011 eV/atom
E ... -60.44 eV/cell

=====

3.
Material: Pm12NdY6
Method: DFT, PBE
State: relaxed

Lattice parameters (Å, degrees): 8.865 8.865 8.865 99.13 99.13 99.13
Element x y z (fractional)
Y 0.662 0.101 0.101
Y 0.899 0.338 0.899
Y 0.101 0.662 0.101
Y 0.338 0.899 0.899
Y 0.899 0.899 0.338
Y 0.101 0.101 0.662
Pm 0.646 0.646 0.920
Pm 0.243 0.757 0.500
Pm 0.500 0.243 0.757
Pm 0.757 0.243 0.500
Pm 0.920 0.646 0.646
Pm 0.646 0.920 0.646
Pm 0.500 0.757 0.243
Pm 0.080 0.354 0.354
Pm 0.354 0.080 0.354
Pm 0.757 0.500 0.243
Pm 0.243 0.500 0.757
Pm 0.354 0.354 0.080
Nd 0.000 0.000 0.000

Summary:
Crystal system ... trigonal
SG ... R-3m, No. 166
Distance to the lowest polymorph of the same formula ... 0.057 eV/atom
Calculated formation energy ... 0.194 eV/atom
E ... -96.88 eV/cell

=====

4.
Material: Pm6Nd2Y5
Method: DFT, PBE
State: relaxed

Lattice parameters (Å, degrees): 3.658 11.831 20.640 90.00 90.00 90.00
Element x y z (fractional)
Pm 0.000 0.437 0.575
Pm 0.000 0.423 0.863
Pm 0.500 0.678 0.872
Pm 0.500 0.178 0.628
Pm 0.000 0.577 0.137
Pm 0.000 0.063 0.075
Pm 0.000 0.077 0.363
Pm 0.000 0.923 0.637
Pm 0.500 0.822 0.372
Pm 0.000 0.937 0.925
Pm 0.500 0.322 0.128
Pm 0.000 0.563 0.425
Y 0.500 0.801 0.058
Y 0.500 0.301 0.442
Y 0.500 0.590 0.279
Y 0.500 0.090 0.221
Y 0.500 0.910 0.779
Y 0.500 0.410 0.721
Y 0.500 0.000 0.500
Y 0.500 0.199 0.942
Y 0.500 0.500 0.000
Y 0.500 0.699 0.558
Nd 0.000 0.671 0.717
Nd 0.000 0.329 0.283
Nd 0.000 0.171 0.783
Nd 0.000 0.829 0.217

Summary:
Crystal system ... orthorhombic
SG ... Pbam, No. 55
Calculated formation energy ... 0.097 eV/atom
E ... -138.19 eV/cell

=====

5.
Material: Pm5Nd6Y
Method: DFT, PBE
State: relaxed

Lattice parameters (Å, degrees): 12.128 6.349 6.347 59.99 84.99 79.93
Element x y z (fractional)
Nd 0.249 0.583 0.333
Nd 0.249 0.250 0.000
Nd 0.751 0.417 0.667
Nd 0.751 0.750 0.000
Nd 0.751 0.084 0.333
Nd 0.249 0.916 0.667
Pm 0.500 0.500 0.000
Pm 0.000 0.667 0.666
Pm 0.500 0.166 0.667
Pm 0.500 0.834 0.333
Pm 0.000 0.333 0.334
Y 0.000 0.000 0.000

Summary:
Crystal system ... monoclinic
SG ... C2/m, No. 12
Calculated formation energy ... 0.012 eV/atom
E ... -58.69 eV/cell

=====

6.
Material: Pm2NdY
Method: DFT, PBE
State: relaxed

Lattice parameters (Å, degrees): 4.282 4.282 7.461 90.00 90.00 90.00
Element x y z (fractional)
Pm 0.000 0.000 0.754
Pm 0.000 0.000 0.246
Nd 0.500 0.500 0.500
Y 0.500 0.500 0.000

Summary:
Crystal system ... tetragonal
SG ... P4/mmm, No. 123
Distance to the lowest polymorph of the same formula ... 0.102 eV/atom
Calculated formation energy ... 0.112 eV/atom
E ... -20.29 eV/cell

=====

7.
Material: Pm2Nd5Y4
Method: DFT, PBE
State: relaxed

Lattice parameters (Å, degrees): 3.636 8.905 12.080 104.17 98.65 90.00
Element x y z (fractional)
Y 0.954 0.635 0.909
Y 0.046 0.365 0.091
Y 0.682 0.454 0.363
Y 0.318 0.546 0.637
Nd 0.773 0.186 0.546
Nd 0.227 0.814 0.454
Nd 0.500 0.000 0.000
Nd 0.864 0.908 0.728
Nd 0.136 0.092 0.272
Pm 0.590 0.724 0.181
Pm 0.410 0.276 0.819

Summary:
Crystal system ... monoclinic
SG ... C2/m, No. 12
Distance to the lowest polymorph of the same formula ... 0.000 eV/atom
Calculated formation energy ... 0.015 eV/atom
E ... -59.03 eV/cell

=====

8.
Material: Pm12NdY6
Method: DFT, PBE
State: relaxed

Lattice parameters (Å, degrees): 8.690 8.690 8.690 89.13 89.13 89.13
Element x y z (fractional)
Pm 0.017 0.200 0.360
Pm 0.433 0.779 0.537
Pm 0.221 0.463 0.567
Pm 0.983 0.800 0.640
Pm 0.640 0.983 0.800
Pm 0.360 0.017 0.200
Pm 0.537 0.433 0.779
Pm 0.779 0.537 0.433
Pm 0.800 0.640 0.983
Pm 0.463 0.567 0.221
Pm 0.200 0.360 0.017
Pm 0.567 0.221 0.463
Y 0.302 0.740 0.902
Y 0.740 0.902 0.302
Y 0.902 0.302 0.740
Y 0.260 0.098 0.698
Y 0.698 0.260 0.098
Y 0.098 0.698 0.260
Nd 0.000 0.000 0.000

Summary:
Crystal system ... trigonal
SG ... R-3, No. 148
Distance to the lowest polymorph of the same formula ... 0.000 eV/atom
Calculated formation energy ... 0.136 eV/atom
E ... -97.97 eV/cell

=====

The highest calculated formation energy belongs to which entry? number 3

=====

What is the formula in the seventh record? Pm2Nd5Y4

=====

Which of these has the highest E? Pm2NdY

=====

The highest E belongs to which entry? Pm2NdY